Computed, not measured: a relaxed structure of AlVCo2 at the PBE-GGA level of DFT.

It has space group P4/mmm (No. 123), with a = 2.705 Å, b = 2.705 Å, c = 6.413 Å, α = 90.00°, β = 90.00° and γ = 90.00°. The distinct sites, in fractional coordinates, are Al at (0.000, 0.000, 0.000), V at (0.000, 0.000, 0.500) and Co at (0.500, 0.500, 0.246).

The energy relative to the elements is -0.3669 eV/atom. For the total moment, the calculation gives 0.00 μB/f.u. Its crystal system is tetragonal.